First-principles (PBE-GGA) data for a relaxed AcGdBe crystal, as listed in OQMD.

Output
VASP energy: -3.804 eV per atom
theoretical density: 7.19 g/cm3
energy relative to the lowest polymorph listed for this composition: 0.000 eV/atom
magnetic moment: 0.016 Bohr magnetons per cell

a b c (Å): 5.0454 5.0454 5.0454
angles (deg): 60.00 60.00 60.00
Closest atoms and distances in Å follow each position.
Positions (direct):
Ac: 0.5000 0.5000 0.5000  4 Be 3.09
Be: 0.2500 0.2500 0.2500  4 Ac 3.09, 4 Gd 3.09
Gd: 0.0000 0.0000 0.0000  4 Be 3.09